# 1
Entry from Alexandria: a geometry-optimized LaMnSi structure (PBE).

Lattice parameters (Å, degrees): 4.0073 4.0073 7.7976 90.00 90.00 90.00
With the nearest neighbours (Å) after each atom.
Sites, in units of the cell vectors:
La 0.2500 0.2500 0.1810  4 Si 3.05, 4 Mn 3.19
La 0.7500 0.7500 0.8190  4 Si 3.05, 4 Mn 3.19
Mn 0.2500 0.7500 0.5000  4 Si 2.42
Mn 0.7500 0.2500 0.5000  4 Si 2.42
Si 0.2500 0.2500 0.6733  4 Mn 2.42
Si 0.7500 0.7500 0.3267  4 Mn 2.42

Calculated values
Crystal system: tetragonal
SG: P4/nmm, No. 129
E_tot, eV per atom: -7.005

# 2
Entry from Alexandria: a geometry-optimized Sm2Cu3Si2 structure (PBE).

Lattice parameters (Å, degrees): 5.5771 5.5771 6.4414 111.59 111.59 43.14
With the nearest neighbours (Å) after each atom.
Sites, in units of the cell vectors:
Sm 0.1509 0.1509 0.2585  5 Cu 2.90-3.18, 4 Si 2.99-3.13
Sm 0.8491 0.8491 0.7415  5 Cu 2.90-3.18, 4 Si 2.99-3.13
Cu 0.3967 0.3967 0.0816  3 Si 2.46-2.73, 2 Cu 2.47-2.74
Cu 0.5000 0.5000 0.5000  2 Cu 2.47, 4 Si 2.61
Cu 0.6033 0.6033 0.9184  3 Si 2.46-2.73, 2 Cu 2.47-2.74
Si 0.1378 0.1378 0.7353  5 Cu 2.46-2.73
Si 0.8622 0.8622 0.2647  5 Cu 2.46-2.73

Calculated values
Crystal system: monoclinic
SG: C2/m, No. 12
E_tot, eV per atom: -5.099

# 3
Entry from Alexandria: a geometry-optimized PHRuS structure (PBE).

Lattice parameters (Å, degrees): 3.5634 4.7435 3.8382 90.00 108.90 90.00
With the nearest neighbours (Å) after each atom.
Sites, in units of the cell vectors:
P 0.0000 0.0000 0.0000  3 Ru 2.19-2.39
H 0.4506 0.5000 0.7223  1 S 1.36
Ru 0.6300 0.0000 0.3587  3 P 2.19-2.39
S 0.7151 0.5000 0.5345  1 H 1.36

Calculated values
Crystal system: monoclinic
ΔE to the lowest computed polymorph, eV per atom: 0.131
SG: Pm, No. 6

# 4
Entry from Alexandria: a geometry-optimized TeMoC3 structure (PBE).

Lattice parameters (Å, degrees): 4.0800 4.0800 4.0800 90.00 90.00 90.00
With the nearest neighbours (Å) after each atom.
Sites, in units of the cell vectors:
Te 0.0000 0.0000 0.0000  6 C 2.04
Mo 0.5000 0.5000 0.5000  12 C 2.89
C 0.0000 0.0000 0.5000  2 Te 2.04
C 0.0000 0.5000 0.0000  2 Te 2.04
C 0.5000 0.0000 0.0000  2 Te 2.04

Calculated values
Crystal system: cubic
ΔE to the lowest computed polymorph, eV per atom: 1.030
SG: Pm-3m, No. 221

# 5
Entry from Alexandria: a geometry-optimized Cr2Au structure (PBE).

Lattice parameters (Å, degrees): 4.8699 4.8699 4.8699 60.00 60.00 60.00
With the nearest neighbours (Å) after each atom.
Sites, in units of the cell vectors:
Cr 0.0000 0.0000 0.0000  6 Cr 2.43
Cr 0.0000 0.0000 0.5000  6 Cr 2.43
Cr 0.0000 0.5000 0.0000  6 Cr 2.43
Cr 0.5000 0.0000 0.0000  6 Cr 2.43
Au 0.3750 0.3750 0.3750  12 Cr 2.86, 4 Au 2.98
Au 0.6250 0.6250 0.6250  12 Cr 2.86, 4 Au 2.98

Calculated values
Crystal system: cubic
SG: Fd-3m, No. 227
Formation energy from the elements, eV per atom: 0.325

# 6
Entry from Alexandria: a geometry-optimized YZn2Cu4 structure (PBE).

Lattice parameters (Å, degrees): 5.2173 5.2173 5.2173 103.34 103.34 122.59
With the nearest neighbours (Å) after each atom.
Sites, in units of the cell vectors:
Y 0.0000 0.0000 0.0000  12 Cu 2.84-3.05
Zn 0.2500 0.7500 0.5000  2 Zn 2.51, 8 Cu 2.67
Zn 0.7500 0.2500 0.5000  2 Zn 2.51, 8 Cu 2.67
Cu 0.3100 0.3100 0.6200  4 Cu 2.46-2.74, 4 Zn 2.67
Cu 0.3100 0.6900 0.0000  4 Cu 2.46-2.74, 4 Zn 2.67
Cu 0.6900 0.3100 0.0000  4 Cu 2.46-2.74, 4 Zn 2.67
Cu 0.6900 0.6900 0.3800  4 Cu 2.46-2.74, 4 Zn 2.67

Calculated values
Crystal system: tetragonal
ΔE to the lowest computed polymorph, eV per atom: 0.000
SG: I4/mmm, No. 139
Formation energy from the elements, eV per atom: -0.230